i | ## Mg2CuSe4 (GGA-PBEsol)

Data for a relaxed structure of Mg2CuSe4.

Unit cell a=5.905 b=5.905 c=5.905 alpha=101.22 beta=113.75 gamma=113.75
Sites, in units of the cell vectors:
1 Cu 0.000 0.000 0.000
2 Se 0.492 0.796 0.695
3 Se 0.101 0.305 0.796
4 Se 0.899 0.695 0.204
5 Se 0.508 0.204 0.305
6 Mg 0.500 0.250 0.750
7 Mg 0.500 0.750 0.250

## Properties
Density of states at the Fermi level ... 2.26 states/eV per cell
SG ... I4/m
Magnetic moment ... 0.0 μB/cell



ii | ## Mg2CuSe4 (GGA-PBEsol)

Data for a relaxed structure of Mg2CuSe4.

Unit cell a=5.803 b=5.803 c=5.803 alpha=108.95 beta=108.95 gamma=110.51
Sites, in units of the cell vectors:
1 Se 0.756 0.756 0.513
2 Se 0.756 0.244 0.000
3 Se 0.244 0.756 0.000
4 Se 0.244 0.244 0.487
5 Cu 0.000 0.000 0.000
6 Mg 0.250 0.750 0.500
7 Mg 0.750 0.250 0.500

## Properties
Density of states at the Fermi level ... 2.70 states/eV per cell
SG ... I4/mmm
Magnetic moment ... 0.0 μB/cell



Most stable: i (next structure +10.7 kJ/mol of atoms)



i | ## MgCuSe (GGA-PBEsol)

Data for a relaxed structure of MgCuSe.

Unit cell a=5.352 b=6.351 c=6.474 alpha=90.00 beta=111.94 gamma=90.00
Sites, in units of the cell vectors:
1 Mg 0.166 0.201 0.841
2 Mg 0.834 0.701 0.659
3 Mg 0.834 0.799 0.159
4 Mg 0.166 0.299 0.341
5 Cu 0.223 0.924 0.540
6 Cu 0.777 0.076 0.460
7 Cu 0.223 0.576 0.040
8 Cu 0.777 0.424 0.960
9 Se 0.656 0.066 0.813
10 Se 0.344 0.566 0.687
11 Se 0.344 0.934 0.187
12 Se 0.656 0.434 0.313

## Properties
Density of states at the Fermi level ... 0.03 states/eV per cell
SG ... P2_1/c
Magnetic moment ... 0.0 μB/cell



ii | ## MgCuSe (GGA-PBEsol)

Data for a relaxed structure of MgCuSe.

Unit cell a=3.829 b=4.676 c=6.308 alpha=90.00 beta=90.00 gamma=114.17
Sites, in units of the cell vectors:
1 Mg 0.500 0.000 0.000
2 Mg 0.500 0.000 0.500
3 Cu 0.147 0.294 0.750
4 Cu 0.853 0.706 0.250
5 Se 0.164 0.328 0.250
6 Se 0.836 0.672 0.750

## Properties
Density of states at the Fermi level ... 1.44 states/eV per cell
SG ... Cmcm
Magnetic moment ... 0.0 μB/cell



Most stable: i (next structure +26.2 kJ/mol of atoms)



i | ## MgCuSe (GGA-PBEsol)

Data for a relaxed structure of MgCuSe.

Unit cell a=4.289 b=4.289 c=4.289 alpha=60.00 beta=60.00 gamma=60.00
Sites, in units of the cell vectors:
1 Mg 0.000 0.000 0.000
2 Se 0.500 0.500 0.500
3 Cu 0.250 0.250 0.250

## Properties
Density of states at the Fermi level ... 1.62 states/eV per cell
SG ... F-43m
Magnetic moment ... 0.0 μB/cell



ii | ## MgCuSe (GGA-PBEsol)

Data for a relaxed structure of MgCuSe.

Unit cell a=4.103 b=4.103 c=6.153 alpha=90.00 beta=90.00 gamma=90.00
Sites, in units of the cell vectors:
1 Se 0.500 0.000 0.800
2 Se 0.000 0.500 0.200
3 Mg 0.500 0.500 0.500
4 Mg 0.000 0.000 0.500
5 Cu 0.000 0.500 0.804
6 Cu 0.500 0.000 0.196

## Properties
Density of states at the Fermi level ... 2.31 states/eV per cell
SG ... P4/nmm
Magnetic moment ... 0.0 μB/cell



Most stable: i (next structure +2.5 kJ/mol of atoms)



i | ## Mg4CuSe2 (GGA-PBEsol)

Data for a relaxed structure of Mg4CuSe2.

Unit cell a=5.807 b=5.807 c=5.807 alpha=103.05 beta=112.78 gamma=112.78
Sites, in units of the cell vectors:
1 Se 0.500 0.750 0.250
2 Se 0.500 0.250 0.750
3 Mg 0.000 0.725 0.275
4 Mg 0.449 0.725 0.725
5 Mg 0.551 0.275 0.275
6 Mg 0.000 0.275 0.725
7 Cu 0.000 0.000 0.000

## Properties
Density of states at the Fermi level ... 1.87 states/eV per cell
SG ... I4/mmm
Magnetic moment ... 0.0 μB/cell



ii | ## Mg4CuSe2 (GGA-PBEsol)

Data for a relaxed structure of Mg4CuSe2.

Unit cell a=4.488 b=4.488 c=9.261 alpha=75.98 beta=75.98 gamma=60.00
Sites, in units of the cell vectors:
1 Mg 0.883 0.883 0.352
2 Mg 0.117 0.117 0.648
3 Mg 0.362 0.362 0.914
4 Mg 0.638 0.638 0.086
5 Se 0.781 0.781 0.657
6 Se 0.219 0.219 0.343
7 Cu 0.000 0.000 0.000

## Properties
Density of states at the Fermi level ... 2.97 states/eV per cell
SG ... R-3m
Magnetic moment ... 0.0 μB/cell



Most stable: ii (next structure +21.0 kJ/mol of atoms)



i | ## Mg2CuTc (GGA-PBEsol)

Data for a relaxed structure of Mg2CuTc.

Unit cell a=2.737 b=3.824 c=5.771 alpha=90.00 beta=90.00 gamma=90.00
Sites, in units of the cell vectors:
1 Mg 0.000 0.000 0.253
2 Mg 0.000 0.000 0.747
3 Tc 0.500 0.500 0.000
4 Cu 0.500 0.500 0.500

## Properties
Density of states at the Fermi level ... 2.19 states/eV per cell
SG ... Pmmm
Magnetic moment ... 0.0 μB/cell



ii | ## Mg2CuTc (GGA-PBEsol)

Data for a relaxed structure of Mg2CuTc.

Unit cell a=2.700 b=4.124 c=5.513 alpha=90.00 beta=90.00 gamma=90.00
Sites, in units of the cell vectors:
1 Cu 0.500 0.500 0.738
2 Tc 0.000 0.000 0.504
3 Mg 0.500 0.500 0.274
4 Mg 0.000 0.000 0.984

## Properties
Density of states at the Fermi level ... 3.57 states/eV per cell
SG ... Pmm2
Magnetic moment ... 0.0 μB/cell



Most stable: i (next structure +3.5 kJ/mol of atoms)



i | ## Y2MgCu2 (GGA-PBEsol)

Data for a relaxed structure of Y2MgCu2.

Unit cell a=3.605 b=7.568 c=7.568 alpha=90.00 beta=90.00 gamma=90.00
Sites, in units of the cell vectors:
1 Y 0.500 0.330 0.170
2 Y 0.500 0.830 0.330
3 Y 0.500 0.170 0.670
4 Y 0.500 0.670 0.830
5 Cu 0.000 0.122 0.378
6 Cu 0.000 0.622 0.122
7 Cu 0.000 0.878 0.622
8 Cu 0.000 0.378 0.878
9 Mg 0.000 0.000 0.000
10 Mg 0.000 0.500 0.500

## Properties
Density of states at the Fermi level ... 9.16 states/eV per cell
SG ... P4/mbm
Magnetic moment ... 0.0 μB/cell



ii | ## Y2MgCu2 (GGA-PBEsol)

Data for a relaxed structure of Y2MgCu2.

Unit cell a=3.877 b=3.877 c=8.147 alpha=90.00 beta=90.00 gamma=109.52
Sites, in units of the cell vectors:
1 Y 0.000 0.000 0.217
2 Y 0.000 0.000 0.783
3 Cu 0.321 0.679 0.000
4 Cu 0.679 0.321 0.000
5 Mg 0.500 0.500 0.500

## Properties
Density of states at the Fermi level ... 4.30 states/eV per cell
SG ... Cmmm
Magnetic moment ... 0.0 μB/cell



Most stable: i (next structure +19.4 kJ/mol of atoms)



i | ## Y2MgCu2 (GGA-PBEsol)

Data for a relaxed structure of Y2MgCu2.

Unit cell a=5.396 b=5.639 c=8.010 alpha=103.85 beta=90.00 gamma=118.58
Sites, in units of the cell vectors:
1 Cu 0.985 0.282 0.000
2 Cu 0.297 0.282 0.500
3 Cu 0.703 0.718 0.500
4 Cu 0.015 0.718 0.000
5 Y 0.481 0.294 0.147
6 Y 0.187 0.706 0.353
7 Y 0.519 0.706 0.853
8 Y 0.813 0.294 0.647
9 Mg 0.839 0.000 0.250
10 Mg 0.161 0.000 0.750

## Properties
Density of states at the Fermi level ... 7.78 states/eV per cell
SG ... C2/c
Magnetic moment ... 0.0 μB/cell



ii | ## Y2MgCu2 (GGA-PBEsol)

Data for a relaxed structure of Y2MgCu2.

Unit cell a=4.765 b=4.765 c=5.620 alpha=67.28 beta=67.28 gamma=64.47
Sites, in units of the cell vectors:
1 Y 0.246 0.246 0.302
2 Y 0.754 0.754 0.698
3 Cu 0.609 0.609 0.266
4 Cu 0.391 0.391 0.734
5 Mg 0.000 0.000 0.000

## Properties
Density of states at the Fermi level ... 4.06 states/eV per cell
SG ... C2/m
Magnetic moment ... 0.0 μB/cell



Most stable: i (next structure +3.8 kJ/mol of atoms)



i | ## Y2Mg2Cu (GGA-PBEsol)

Data for a relaxed structure of Y2Mg2Cu.

Unit cell a=3.890 b=4.886 c=12.274 alpha=89.99 beta=90.00 gamma=90.00
Sites, in units of the cell vectors:
1 Y 0.250 0.750 0.415
2 Y 0.750 0.250 0.585
3 Y 0.250 0.250 0.207
4 Y 0.750 0.750 0.793
5 Cu 0.250 0.750 0.638
6 Cu 0.750 0.250 0.362
7 Mg 0.750 0.250 0.992
8 Mg 0.750 0.750 0.199
9 Mg 0.250 0.250 0.801
10 Mg 0.250 0.750 0.008

## Properties
Density of states at the Fermi level ... 7.45 states/eV per cell
SG ... Pmmn
Magnetic moment ... 0.0 μB/cell



ii | ## Y2Mg2Cu (GGA-PBEsol)

Data for a relaxed structure of Y2Mg2Cu.

Unit cell a=4.930 b=6.214 c=8.072 alpha=102.29 beta=107.78 gamma=90.00
Sites, in units of the cell vectors:
1 Mg 0.527 0.289 0.054
2 Mg 0.480 0.743 0.959
3 Mg 0.277 0.473 0.553
4 Mg 0.711 0.198 0.421
5 Y 0.916 0.417 0.831
6 Y 0.690 0.696 0.380
7 Y 0.324 0.000 0.649
8 Y 0.084 0.007 0.168
9 Cu 0.103 0.537 0.206
10 Cu 0.889 0.872 0.778

## Properties
Density of states at the Fermi level ... 9.48 states/eV per cell
SG ... Cm
Magnetic moment ... 0.0 μB/cell



iii | ## Y2Mg2Cu (GGA-PBEsol)

Data for a relaxed structure of Y2Mg2Cu.

Unit cell a=4.997 b=4.997 c=6.026 alpha=65.50 beta=65.50 gamma=60.00
Sites, in units of the cell vectors:
1 Y 0.390 0.390 0.830
2 Y 0.610 0.610 0.170
3 Mg 0.829 0.829 0.514
4 Mg 0.171 0.171 0.486
5 Cu 0.000 0.000 0.000

## Properties
Density of states at the Fermi level ... 4.05 states/eV per cell
SG ... R-3m
Magnetic moment ... 0.0 μB/cell



Most stable: ii (next structure +0.6 kJ/mol of atoms)



i | ## Y2Mg2Cu (GGA-PBEsol)

Data for a relaxed structure of Y2Mg2Cu.

Unit cell a=6.410 b=6.447 c=6.861 alpha=106.31 beta=90.00 gamma=119.81
Sites, in units of the cell vectors:
1 Cu 0.251 0.000 0.250
2 Cu 0.749 0.000 0.750
3 Mg 0.209 0.208 0.965
4 Mg 0.999 0.208 0.465
5 Mg 0.001 0.792 0.535
6 Mg 0.791 0.792 0.035
7 Y 0.430 0.689 0.375
8 Y 0.258 0.689 0.875
9 Y 0.742 0.311 0.125
10 Y 0.570 0.311 0.625

## Properties
Density of states at the Fermi level ... 9.02 states/eV per cell
SG ... C2/c
Magnetic moment ... 0.0 μB/cell



ii | ## Y2Mg2Cu (GGA-PBEsol)

Data for a relaxed structure of Y2Mg2Cu.

Unit cell a=5.416 b=6.357 c=7.926 alpha=113.64 beta=109.98 gamma=90.00
Sites, in units of the cell vectors:
1 Mg 0.078 0.240 0.156
2 Mg 0.578 0.916 0.156
3 Mg 0.922 0.760 0.844
4 Mg 0.422 0.084 0.844
5 Y 0.825 0.156 0.651
6 Y 0.325 0.495 0.651
7 Y 0.675 0.505 0.349
8 Y 0.175 0.844 0.349
9 Cu 0.750 0.500 0.000
10 Cu 0.250 0.500 0.000

## Properties
Density of states at the Fermi level ... 7.23 states/eV per cell
SG ... Ibam
Magnetic moment ... 0.0 μB/cell



Most stable: ii (next structure +1.6 kJ/mol of atoms)



i | ## MgZn2Cu2 (GGA-PBEsol)

Data for a relaxed structure of MgZn2Cu2.

Unit cell a=4.687 b=5.090 c=6.853 alpha=109.39 beta=90.00 gamma=117.41
Sites, in units of the cell vectors:
1 Zn 0.962 0.223 0.958
2 Zn 0.261 0.223 0.458
3 Zn 0.739 0.777 0.542
4 Zn 0.038 0.777 0.042
5 Cu 0.482 0.602 0.849
6 Cu 0.518 0.398 0.151
7 Cu 0.120 0.602 0.349
8 Cu 0.880 0.398 0.651
9 Mg 0.355 0.000 0.750
10 Mg 0.645 0.000 0.250

## Properties
Density of states at the Fermi level ... 2.91 states/eV per cell
SG ... C2/c
Magnetic moment ... 0.0 μB/cell



ii | ## MgZn2Cu2 (GGA-PBEsol)

Data for a relaxed structure of MgZn2Cu2.

Unit cell a=4.090 b=5.301 c=6.622 alpha=90.00 beta=107.99 gamma=90.00
Sites, in units of the cell vectors:
1 Cu 0.697 0.825 0.393
2 Cu 0.498 0.336 0.996
3 Cu 0.303 0.325 0.607
4 Cu 0.502 0.836 0.004
5 Mg 0.097 0.579 0.194
6 Mg 0.903 0.079 0.806
7 Zn 0.878 0.574 0.756
8 Zn 0.305 0.821 0.610
9 Zn 0.695 0.321 0.390
10 Zn 0.122 0.074 0.244

## Properties
Density of states at the Fermi level ... 3.05 states/eV per cell
SG ... Cmc2_1
Magnetic moment ... 0.0 μB/cell



iii | ## MgZn2Cu2 (GGA-PBEsol)

Data for a relaxed structure of MgZn2Cu2.

Unit cell a=4.543 b=4.543 c=4.730 alpha=106.65 beta=106.65 gamma=113.79
Sites, in units of the cell vectors:
1 Mg 0.000 0.000 0.000
2 Cu 0.658 0.342 0.000
3 Cu 0.342 0.658 0.000
4 Zn 0.250 0.750 0.500
5 Zn 0.750 0.250 0.500

## Properties
Density of states at the Fermi level ... 1.52 states/eV per cell
SG ... Fmmm
Magnetic moment ... 0.0 μB/cell



Most stable: i (next structure +1.2 kJ/mol of atoms)



i | ## MgZn2Cu2 (GGA-PBEsol)

Data for a relaxed structure of MgZn2Cu2.

Unit cell a=2.845 b=6.969 c=6.969 alpha=90.00 beta=90.00 gamma=90.00
Sites, in units of the cell vectors:
1 Zn 0.000 0.372 0.872
2 Zn 0.000 0.628 0.128
3 Zn 0.000 0.128 0.372
4 Zn 0.000 0.872 0.628
5 Mg 0.000 0.500 0.500
6 Mg 0.000 0.000 0.000
7 Cu 0.500 0.331 0.169
8 Cu 0.500 0.169 0.669
9 Cu 0.500 0.669 0.831
10 Cu 0.500 0.831 0.331

## Properties
Density of states at the Fermi level ... 2.34 states/eV per cell
SG ... P4/mbm
Magnetic moment ... 0.0 μB/cell



ii | ## MgZn2Cu2 (GGA-PBEsol)

Data for a relaxed structure of MgZn2Cu2.

Unit cell a=4.235 b=4.235 c=4.976 alpha=64.81 beta=64.81 gamma=60.00
Sites, in units of the cell vectors:
1 Cu 0.593 0.593 0.221
2 Cu 0.407 0.407 0.779
3 Mg 0.000 0.000 0.000
4 Zn 0.211 0.211 0.368
5 Zn 0.789 0.789 0.632

## Properties
Density of states at the Fermi level ... 1.17 states/eV per cell
SG ... R-3m
Magnetic moment ... 0.0 μB/cell



iii | ## MgZn2Cu2 (GGA-PBEsol)

Data for a relaxed structure of MgZn2Cu2.

Unit cell a=2.754 b=4.206 c=11.902 alpha=90.00 beta=90.00 gamma=90.00
Sites, in units of the cell vectors:
1 Zn 0.000 0.500 0.144
2 Zn 0.500 0.500 0.532
3 Zn 0.500 0.000 0.856
4 Zn 0.000 0.000 0.468
5 Mg 0.500 0.000 0.252
6 Mg 0.000 0.500 0.748
7 Cu 0.000 0.500 0.349
8 Cu 0.500 0.000 0.651
9 Cu 0.500 0.500 0.966
10 Cu 0.000 0.000 0.034

## Properties
Density of states at the Fermi level ... 2.52 states/eV per cell
SG ... Pmmn
Magnetic moment ... 0.0 μB/cell



Most stable: ii (next structure +0.6 kJ/mol of atoms)